[1]
Compound: Rb3NiPd
Source: the Alexandria database
Functional: PBE
Structure: optimized geometry

Values from the calculation:
Final energy: -2.147 eV per atom

Unit cell a=6.394 b=6.394 c=6.394 alpha=90.00 beta=90.00 gamma=90.00
Atoms (fractional coordinates):
Rb: 0.000 0.000 0.500
Rb: 0.000 0.500 0.000
Rb: 0.500 0.000 0.000
Ni: 0.500 0.500 0.500
Pd: 0.000 0.000 0.000



[2]
Compound: La4TeRuBr2
Source: the Alexandria database
Functional: PBE
Structure: optimized geometry

Values from the calculation:
Final energy: -5.600 eV per atom

Unit cell a=7.816 b=4.264 c=8.014 alpha=90.00 beta=106.85 gamma=90.00
Atoms (fractional coordinates):
La: 0.209 0.000 0.207
La: 0.219 0.500 0.783
La: 0.781 0.500 0.217
La: 0.791 0.000 0.793
Te: 0.000 0.000 0.500
Ru: 0.000 0.500 0.000
Br: 0.500 0.000 0.000
Br: 0.500 0.500 0.500